Record 1
This record from OQMD via LeMat-Bulk describes a relaxed structure of Nd7Co3. The functional is PBE.

Cell: 9.8442 9.8442 6.3434 Å, 90.00 90.00 120.00°
Space group P6_3mc (No. 186)
Unique sites:
Nd (0.0792, 0.5396, 0.0000) x6
Nd (0.1256, 0.2511, 0.6870) x6
Nd (0.3333, 0.6667, 0.4589) x2
Co (0.1875, 0.3751, 0.2403) x6

Computed properties:
Magnetic moment   0.0013 μB per atom
Formation energy   -55 meV/atom

=====

Record 2
This record from OQMD via LeMat-Bulk describes a relaxed structure of ZnFeBiOs. The functional is PBE.

Cell: 6.382 6.382 6.382 Å, 90.00 90.00 90.00°
Space group F-43m (No. 216)
Unique sites:
Zn (0.000, 0.000, 0.000) x4
Fe (0.250, 0.250, 0.750) x4
Bi (0.000, 0.000, 0.500) x4
Os (0.250, 0.250, 0.250) x4

Computed properties:
Magnetic moment   0.4836 μB per atom
Distance to the lowest polymorph of the same formula   0.00 eV/f.u.

=====

Record 3
This record from OQMD via LeMat-Bulk describes a relaxed structure of TbFeCu2P4. The functional is PBE.

Cell: 3.668 3.668 8.760 Å, 90.00 90.00 90.00°
Space group P4mm (No. 99)
Unique sites:
Tb (0.000, 0.000, 0.000) x1
Fe (0.500, 0.500, 0.416) x1
Cu (0.000, 0.500, 0.695) x2
P (0.000, 0.000, 0.525) x1
P (0.000, 0.500, 0.262) x2
P (0.500, 0.500, 0.876) x1

Computed properties:
Energy   -5.598 eV/atom
Magnetic moment   0.0638 μB per atom